## A
## Fe5Rh (SCAN)

Data for a PBEsol-optimized structure of Fe5Rh.

Lattice parameters (Å, degrees): 2.522 4.001 6.954 90.00 90.12 90.00
Space group P2/m (No. 10)
One atom of each set of equivalent atoms:
Fe  0.000  0.000  0.000 [1 per cell]
Fe  0.330  0.500  0.839 [2 per cell]
Fe  0.356  0.000  0.326 [2 per cell]
Rh  0.000  0.500  0.500 [1 per cell]

Total magnetic moment in μB per formula unit: 14.43

## B
## Fe5Rh (SCAN)

Data for a PBEsol-optimized structure of Fe5Rh.

Lattice parameters (Å, degrees): 9.053 2.849 5.706 90.00 108.30 90.00
Space group C2/m (No. 12)
One atom of each set of equivalent atoms:
Fe  0.000  0.000  0.000 [2 per cell]
Fe  0.169  0.500  0.842 [4 per cell]
Fe  0.171  0.500  0.328 [4 per cell]
Rh  0.000  0.000  0.500 [2 per cell]

Total magnetic moment in μB per formula unit: 14.47

## C
## Fe5Rh (SCAN)

Data for a PBEsol-optimized structure of Fe5Rh.

Lattice parameters (Å, degrees): 2.833 2.833 8.654 90.00 90.00 90.00
Space group P4/mmm (No. 123)
One atom of each set of equivalent atoms:
Fe  0.000  0.000  0.000 [1 per cell]
Fe  0.000  0.000  0.319 [2 per cell]
Fe  0.500  0.500  0.160 [2 per cell]
Rh  0.500  0.500  0.500 [1 per cell]

Total magnetic moment in μB per formula unit: 14.49

Relative energies, unit meV/atom: A 46; B 0; C 10